# 1
La2HfCl: optimized geometry, PBE.

a = 5.460 Å, b = 5.460 Å, c = 5.460 Å
α = 60.00°, β = 60.00°, γ = 60.00°
Fractional coordinates of all 4 atoms:
1 La 0.250 0.250 0.250
2 La 0.750 0.750 0.750
3 Hf 0.000 0.000 0.000
4 Cl 0.500 0.500 0.500

Spin magnetization (μB per formula unit): 1.186
Relative energy among the computed polymorphs (eV/atom): 0.4138
Raw formation energy (eV per atom): 0.084

# 2
Sr2MnTlV: optimized geometry, PBE.

a = 6.160 Å, b = 6.160 Å, c = 3.982 Å
α = 90.00°, β = 90.00°, γ = 90.00°
Fractional coordinates of all 5 atoms:
1 Sr 0.000 0.500 0.000
2 Sr 0.500 0.000 0.000
3 Mn 0.000 0.000 0.500
4 Tl 0.500 0.500 0.500
5 V 0.000 0.000 0.000

Spin magnetization (μB per formula unit): 0.000
Calculated formation energy (eV/atom): 0.665

# 3
CeHfScTi: optimized geometry, PBE.

a = 5.044 Å, b = 5.044 Å, c = 5.044 Å
α = 60.00°, β = 60.00°, γ = 60.00°
Fractional coordinates of all 4 atoms:
1 Ce 0.000 0.000 0.000
2 Hf 0.500 0.500 0.500
3 Sc 0.750 0.750 0.750
4 Ti 0.250 0.250 0.250

Spin magnetization (μB per formula unit): 1.002
Calculated formation energy (eV/atom): 0.181

# 4
SrCoW2: optimized geometry, PBE.

a = 3.204 Å, b = 3.199 Å, c = 7.663 Å
α = 90.00°, β = 90.16°, γ = 90.00°
Fractional coordinates of all 4 atoms:
1 Sr 0.000 0.000 0.000
2 Co 0.498 0.500 0.682
3 W 0.500 0.500 0.339
4 W 0.997 0.000 0.528

Spin magnetization (μB per formula unit): 0.000
Relative energy among the computed polymorphs (eV/atom): 0.0000
Calculated formation energy (eV/atom): 0.666

# 5
CuNi2Ru2: optimized geometry, PBE.

a = 7.179 Å, b = 7.179 Å, c = 2.616 Å
α = 90.00°, β = 90.00°, γ = 90.00°
Fractional coordinates of all 10 atoms:
1 Cu 0.000 0.000 0.000
2 Cu 0.500 0.500 0.000
3 Ni 0.171 0.329 0.500
4 Ni 0.329 0.829 0.500
5 Ni 0.671 0.171 0.500
6 Ni 0.829 0.671 0.500
7 Ru 0.125 0.625 0.000
8 Ru 0.375 0.125 0.000
9 Ru 0.625 0.875 0.000
10 Ru 0.875 0.375 0.000

Spin magnetization (μB per formula unit): 1.590
Relative energy among the computed polymorphs (eV/atom): 0.0423
Calculated formation energy (eV/atom): 0.432

# 6
Pm2Al3Pt: optimized geometry, PBE.

a = 5.686 Å, b = 5.686 Å, c = 8.732 Å
α = 90.00°, β = 90.00°, γ = 120.00°
Fractional coordinates of all 12 atoms:
1 Pm 0.333 0.667 0.068
2 Pm 0.333 0.667 0.432
3 Pm 0.667 0.333 0.568
4 Pm 0.667 0.333 0.932
5 Al 0.164 0.329 0.750
6 Al 0.164 0.836 0.750
7 Al 0.329 0.164 0.250
8 Al 0.671 0.836 0.750
9 Al 0.836 0.164 0.250
10 Al 0.836 0.671 0.250
11 Pt 0.000 0.000 0.000
12 Pt 0.000 0.000 0.500

Spin magnetization (μB per formula unit): 0.000
Calculated formation energy (eV/atom): -0.758

# 7
TbTm2ScIn2: optimized geometry, PBE.

a = 5.258 Å, b = 9.116 Å, c = 6.634 Å
α = 90.00°, β = 90.00°, γ = 90.00°
Fractional coordinates of all 12 atoms:
1 Tb 0.000 0.002 0.000
2 Tb 0.000 0.998 0.500
3 Tm 0.000 0.336 0.253
4 Tm 0.000 0.664 0.753
5 Tm 0.500 0.498 0.001
6 Tm 0.500 0.502 0.501
7 Sc 0.500 0.171 0.748
8 Sc 0.500 0.829 0.248
9 In 0.000 0.328 0.751
10 In 0.000 0.672 0.251
11 In 0.500 0.161 0.250
12 In 0.500 0.839 0.750

Spin magnetization (μB per formula unit): 0.007
Calculated formation energy (eV/atom): -0.352

# 8
Sm2IrCl: optimized geometry, PBE.

a = 3.421 Å, b = 3.421 Å, c = 8.109 Å
α = 90.00°, β = 90.00°, γ = 90.00°
Fractional coordinates of all 4 atoms:
1 Sm 0.000 0.000 0.215
2 Sm 0.000 0.000 0.785
3 Ir 0.500 0.500 0.000
4 Cl 0.500 0.500 0.500

Spin magnetization (μB per formula unit): 0.000
Relative energy among the computed polymorphs (eV/atom): 0.1683
Raw formation energy (eV per atom): -1.032

Please write out number 3 again, unchanged.
CeHfScTi: optimized geometry, PBE.

a = 5.044 Å, b = 5.044 Å, c = 5.044 Å
α = 60.00°, β = 60.00°, γ = 60.00°
Fractional coordinates of all 4 atoms:
1 Ce 0.000 0.000 0.000
2 Hf 0.500 0.500 0.500
3 Sc 0.750 0.750 0.750
4 Ti 0.250 0.250 0.250

Spin magnetization (μB per formula unit): 1.002
Calculated formation energy (eV/atom): 0.181